# 1
4
Lattice="-4.159 -3.240 0.081 -0.351 -3.859 6.414 -4.672 1.665 5.618" Properties=species:S:1:pos:R:3 comment="Cs2TlIn PBE relaxed" magnetic_moment_mub_per_fu=0.00 dft_energy_ry_per_atom=-0.1286 de_polymorph_mev_per_atom=0 pbc="T T T"
Cs -0.689 -3.437 5.521
Cs -5.033 -2.141 6.805
Tl -5.430 -1.630 2.875
In -2.621 -0.943 2.968


# 2
12
Lattice="-3.792 -4.821 -3.344 3.820 -1.794 5.568 -5.810 3.664 3.718" Properties=species:S:1:pos:R:3 comment="Sm6CoIr2Cl3 PBE relaxed" raw_formation_energy_ev_per_atom=-1.08 magnetic_moment_mub_per_fu=0.00 dft_energy_ry_per_atom=-0.4387 pbc="T T T"
Sm -5.848 -2.668 3.250
Sm -1.150 -4.180 2.403
Sm 0.065 -0.282 2.692
Sm -3.393 -1.691 6.124
Sm -4.632 1.230 3.539
Sm -2.390 -1.259 -0.183
Co 0.000 0.000 0.000
Ir 1.285 -2.802 2.600
Ir -1.257 -3.813 -0.376
Cl -0.312 -0.449 5.990
Cl -5.470 -2.501 -0.049
Cl -2.891 -1.475 2.971


# 3
3
Lattice="-3.197 -2.649 -6.142 -5.094 -3.123 -4.105 -0.821 2.304 -1.411" Properties=species:S:1:pos:R:3 comment="MgCdTc PBE relaxed" magnetic_moment_mub_per_fu=0.27 dft_energy_ry_per_atom=-0.2934 de_polymorph_mev_per_atom=205 pbc="T T T"
Cd -0.867 2.254 -1.466
Mg -3.232 -0.303 -4.263
Tc -5.835 -3.116 -7.341


# 4
4
Lattice="-3.020 -0.524 0.800 -1.064 -2.967 0.312 1.274 -1.053 10.390" Properties=species:S:1:pos:R:3 comment="LiPuCd2 PBE relaxed" magnetic_moment_mub_per_fu=5.77 dft_energy_ry_per_atom=-0.3335 de_polymorph_mev_per_atom=120 pbc="T T T"
Li -1.450 -3.381 11.126
Pu -1.403 -2.272 5.757
Cd 0.677 -1.078 8.120
Cd -0.764 -1.139 2.642


# 5
4
Lattice="-0.310 -2.620 -3.788 3.633 -2.487 -1.390 -0.073 -4.601 0.375" Properties=species:S:1:pos:R:3 comment="DyTiCuTc PBE relaxed" magnetic_moment_mub_per_fu=0.00 dft_energy_ry_per_atom=-0.5029 pbc="T T T"
Ti 0.812 -2.427 -1.201
Tc 0.000 0.000 0.000
Cu 1.625 -4.854 -2.402
Dy 2.437 -7.281 -3.603


# 6
5
Lattice="4.999 0.000 0.000 0.000 4.999 0.000 0.000 0.000 5.379" Properties=species:S:1:pos:R:3 comment="CdAgP2Cl PBE relaxed" raw_formation_energy_ev_per_atom=0.86 magnetic_moment_mub_per_fu=1.66 dft_energy_ry_per_atom=-0.1784 de_polymorph_mev_per_atom=129 pbc="T T T"
P 0.000 2.500 0.000
P 2.500 0.000 0.000
Cl 0.000 0.000 2.689
Ag 2.500 2.500 2.689
Cd 0.000 0.000 0.000


# 7
4
Lattice="-2.894 0.926 -4.590 -1.003 -4.128 -3.501 -5.099 -2.014 -0.492" Properties=species:S:1:pos:R:3 comment="PmEuInSb PBE relaxed" raw_formation_energy_ev_per_atom=-0.60 magnetic_moment_mub_per_fu=7.22 dft_energy_ry_per_atom=-0.4460 pbc="T T T"
Eu -6.747 -3.911 -6.438
Sb 0.000 0.000 0.000
In -4.498 -2.608 -4.292
Pm -2.249 -1.304 -2.146


# 8
10
Lattice="3.858 0.000 0.000 0.000 9.467 -0.018 0.000 0.065 9.466" Properties=species:S:1:pos:R:3 comment="Pr4Nd3Tm3 PBE relaxed" magnetic_moment_mub_per_fu=0.00 dft_energy_ry_per_atom=-0.3372 pbc="T T T"
Pr 0.000 5.982 3.497
Pr 0.000 3.567 5.934
Pr 0.000 8.259 8.232
Pr 0.000 1.227 1.262
Nd 0.000 4.782 0.021
Nd 0.000 9.468 4.666
Nd 1.929 1.646 7.871
Tm 1.929 7.873 1.589
Tm 1.929 3.171 3.122
Tm 1.929 6.382 6.305


# 9
12
Lattice="7.711 -0.002 0.001 -3.855 6.678 0.001 -1.285 -2.225 7.194" Properties=species:S:1:pos:R:3 comment="La6Ga2SiBr3 PBE relaxed" raw_formation_energy_ev_per_atom=-1.02 magnetic_moment_mub_per_fu=0.00 dft_energy_ry_per_atom=-0.3569 pbc="T T T"
La 3.838 2.255 5.563
La 2.587 4.479 1.626
La -1.267 2.196 1.632
La 0.035 4.451 5.563
La -0.016 -0.027 5.570
La 2.536 0.000 1.632
Ga -0.005 4.455 0.001
Ga 3.861 2.222 0.001
Si 0.000 0.000 0.000
Br -2.574 4.455 3.598
Br 5.145 -0.003 3.598
Br 1.285 2.226 3.598


# 10
10
Lattice="-1.376 1.764 -9.768 -1.687 -9.756 -1.544 -5.374 5.008 6.813" Properties=species:S:1:pos:R:3 comment="Cs6K2HAu PBE relaxed" magnetic_moment_mub_per_fu=0.00 dft_energy_ry_per_atom=-0.1077 pbc="T T T"
Cs -7.698 -1.071 -1.785
Cs -5.124 -3.474 -5.055
Cs -6.110 3.084 4.096
Cs -6.822 4.004 -0.984
Cs -3.312 0.480 0.553
Cs -6.985 -1.991 3.295
K -4.140 1.386 -4.309
K -4.296 -4.381 -0.192
H -6.748 6.767 -2.957
Au -1.535 -4.000 -5.655


# 11
4
Lattice="-2.470 -0.523 -2.557 2.593 -0.099 -2.485 0.707 -8.614 1.081" Properties=species:S:1:pos:R:3 comment="Er2ThHg PBE relaxed" magnetic_moment_mub_per_fu=0.00 dft_energy_ry_per_atom=-0.3281 de_polymorph_mev_per_atom=0 pbc="T T T"
Hg 0.062 -0.311 -2.521
Th 0.415 -4.618 -1.981
Er 0.548 -6.683 0.839
Er 0.158 -1.931 0.242


# 12
4
Lattice="2.063 0.000 8.136 -1.031 1.786 8.136 -1.031 -1.786 8.136" Properties=species:S:1:pos:R:3 comment="CoPBr2 PBE relaxed" raw_formation_energy_ev_per_atom=0.43 magnetic_moment_mub_per_fu=2.12 dft_energy_ry_per_atom=-0.2600 de_polymorph_mev_per_atom=759 pbc="T T T"
P 0.000 0.000 0.000
Co 0.000 0.000 12.204
Br 0.000 0.000 21.821
Br 0.000 0.000 2.587


# 13
4
Lattice="4.857 0.008 0.000 0.940 4.766 0.000 -2.899 -2.387 3.081" Properties=species:S:1:pos:R:3 comment="ScMo2Br PBE relaxed" raw_formation_energy_ev_per_atom=0.59 magnetic_moment_mub_per_fu=0.00 dft_energy_ry_per_atom=-0.5018 de_polymorph_mev_per_atom=663 pbc="T T T"
Br 2.429 0.004 1.541
Mo 0.000 0.000 0.000
Mo 0.470 2.383 1.541
Sc 2.899 2.387 0.000


# 14
5
Lattice="-3.173 1.212 4.019 2.923 -2.978 3.206 2.978 4.117 1.109" Properties=species:S:1:pos:R:3 comment="Tl2CdNiI PBE relaxed" raw_formation_energy_ev_per_atom=-0.10 magnetic_moment_mub_per_fu=0.00 dft_energy_ry_per_atom=-0.1979 pbc="T T T"
I 1.364 1.176 4.167
Ni 0.000 0.000 0.000
Tl 1.461 -1.489 1.603
Tl -1.586 0.606 2.009
Cd 1.489 2.059 0.555


# 15
10
Lattice="-7.601 -2.280 -0.248 2.258 -7.293 -2.178 0.231 -1.255 4.443" Properties=species:S:1:pos:R:3 comment="K2S2I PBE relaxed" raw_formation_energy_ev_per_atom=-0.57 magnetic_moment_mub_per_fu=0.00 dft_energy_ry_per_atom=-0.2184 pbc="T T T"
I 0.000 0.000 0.000
I -2.671 -4.786 -1.213
K 0.490 -5.627 0.790
K -2.820 -8.352 0.192
K -5.601 -5.201 1.227
K -2.291 -2.476 1.825
S -0.594 -6.734 -1.871
S -4.722 -6.816 -1.680
S -4.749 -2.839 -0.555
S -0.621 -2.757 -0.746


# 16
14
Lattice="-1.342 6.193 1.741 -4.890 -2.585 -3.547 0.880 -3.313 5.606" Properties=species:S:1:pos:R:3 comment="TiV5Ga8 PBE relaxed" magnetic_moment_mub_per_fu=1.11 dft_energy_ry_per_atom=-0.4107 pbc="T T T"
Ti -2.121 -2.229 2.867
V -1.362 -0.835 -0.426
V -5.647 2.543 -0.684
V -3.918 0.677 3.073
V -0.231 1.440 3.674
V 0.222 -1.796 5.639
Ga -3.507 -1.271 -1.867
Ga -0.957 3.550 4.945
Ga -2.062 2.800 2.327
Ga -2.024 -0.105 4.865
Ga -3.405 0.872 0.142
Ga -4.628 -1.804 2.560
Ga -1.613 0.113 1.963
Ga -3.214 -2.978 0.267


# 17
7
Lattice="-4.262 -1.802 -0.999 1.325 -4.759 4.374 -0.793 -2.318 6.126" Properties=species:S:1:pos:R:3 comment="CuHg2F4 PBE relaxed" raw_formation_energy_ev_per_atom=-1.24 magnetic_moment_mub_per_fu=0.98 dft_energy_ry_per_atom=-0.2188 de_polymorph_mev_per_atom=0 pbc="T T T"
Hg -1.954 -3.260 3.000
Hg -1.777 -5.620 6.501
Cu -2.937 -6.561 3.375
F -0.589 -4.489 4.653
F -3.142 -4.393 4.847
F -3.809 -7.838 7.957
F -4.184 -2.843 0.547


# 18
18
Lattice="-4.260 -4.125 -1.763 3.268 -4.591 2.842 -3.365 1.732 6.667" Properties=species:S:1:pos:R:3 comment="Pm2MgF6 PBE relaxed" raw_formation_energy_ev_per_atom=-3.38 magnetic_moment_mub_per_fu=0.00 dft_energy_ry_per_atom=-0.4311 pbc="T T T"
Pm -5.129 -4.861 4.582
Pm -1.626 -5.305 6.845
Pm -2.730 -1.678 0.901
Pm 0.772 -2.122 3.164
Mg -0.496 -4.358 0.539
Mg -1.683 0.866 3.334
F -1.644 -6.785 2.988
F -3.249 -6.103 5.178
F -3.957 -4.561 6.946
F -4.562 -3.128 2.948
F -4.553 -2.593 5.339
F -2.440 -4.138 1.169
F -2.712 -0.198 4.758
F -1.108 -0.880 2.568
F -0.400 -2.423 0.800
F 0.205 -3.855 4.798
F 0.196 -4.391 2.406
F -1.917 -2.845 6.577


# 19
10
Lattice="4.533 0.000 0.000 0.000 4.533 0.000 0.000 0.000 10.909" Properties=species:S:1:pos:R:3 comment="Ac2Ga3PdAu4 PBE relaxed" magnetic_moment_mub_per_fu=0.00 dft_energy_ry_per_atom=-0.3097 pbc="T T T"
Ac 2.266 0.000 2.791
Ac 0.000 2.266 8.118
Ga 0.000 0.000 5.454
Ga 2.266 0.000 9.561
Ga 0.000 2.266 1.348
Pd 2.266 2.266 5.454
Au 2.266 2.266 0.000
Au 0.000 0.000 0.000
Au 2.266 0.000 6.995
Au 0.000 2.266 3.914


# 20
5
Lattice="-4.229 1.445 -2.261 -0.251 -4.431 -2.362 -2.672 -1.874 3.800" Properties=species:S:1:pos:R:3 comment="ScNbMo2Pb PBE relaxed" magnetic_moment_mub_per_fu=0.00 dft_energy_ry_per_atom=-0.4591 pbc="T T T"
Pb 0.000 0.000 0.000
Sc -0.125 -2.216 -1.181
Mo -1.336 -0.937 1.900
Mo -2.115 0.722 -1.131
Nb -3.576 -2.430 -0.412


# 21
12
Lattice="-0.518 -3.111 2.583 2.154 -6.301 -3.940 7.107 -2.759 1.319" Properties=species:S:1:pos:R:3 comment="SmRe3Si2 PBE relaxed" raw_formation_energy_ev_per_atom=-0.03 magnetic_moment_mub_per_fu=0.00 dft_energy_ry_per_atom=-0.6500 pbc="T T T"
Sm 0.703 -3.854 1.934
Sm 8.040 -8.318 -1.973
Re 7.251 -6.492 0.069
Re 5.363 -4.006 -0.533
Re 3.526 -4.227 2.050
Re 5.217 -7.944 -2.089
Re 3.380 -8.165 0.494
Re 1.492 -5.679 -0.107
Si 5.858 -5.023 1.558
Si 2.885 -7.148 -1.597
Si 5.924 -8.744 0.306
Si 2.820 -3.427 -0.345


# 22
4
Lattice="5.270 0.000 0.000 0.000 5.437 0.000 0.000 0.000 5.437" Properties=species:S:1:pos:R:3 comment="SrAc2In PBE relaxed" magnetic_moment_mub_per_fu=0.00 dft_energy_ry_per_atom=-0.2418 de_polymorph_mev_per_atom=21 pbc="T T T"
Sr 2.635 0.000 0.000
Ac 0.000 0.000 2.718
Ac 0.000 2.718 0.000
In 2.635 2.718 2.718


# 23
8
Lattice="7.600 0.000 0.000 0.000 7.600 0.000 3.800 3.800 2.150" Properties=species:S:1:pos:R:3 comment="ScZn2O PBE relaxed" raw_formation_energy_ev_per_atom=-0.88 magnetic_moment_mub_per_fu=0.00 dft_energy_ry_per_atom=-0.3191 pbc="T T T"
Sc 0.000 0.000 0.000
Sc 7.600 3.800 1.075
Zn 5.183 1.900 0.538
Zn 2.417 5.700 0.538
Zn 5.700 6.217 1.613
Zn 9.500 8.983 1.613
O 3.800 3.800 0.000
O 3.800 7.600 1.075


# 24
5
Lattice="4.957 0.000 0.000 0.000 4.957 0.000 0.000 0.000 3.909" Properties=species:S:1:pos:R:3 comment="Y2GaRuC PBE relaxed" magnetic_moment_mub_per_fu=0.00 dft_energy_ry_per_atom=-0.5403 pbc="T T T"
Y 0.000 2.479 0.000
Y 2.479 0.000 0.000
Ru 0.000 0.000 1.955
C 0.000 0.000 0.000
Ga 2.479 2.479 1.955


# 25
5
Lattice="-2.214 2.649 1.592 -3.008 -1.396 -1.859 -0.731 -2.408 2.990" Properties=species:S:1:pos:R:3 comment="Cr2GaHIr PBE relaxed" magnetic_moment_mub_per_fu=3.78 dft_energy_ry_per_atom=-0.5065 pbc="T T T"
Cr -1.504 -0.698 -0.930
Cr -1.107 1.324 0.796
Ir -0.365 -1.204 1.495
Ga -2.976 -0.578 1.362
H 0.000 0.000 0.000